An optimized crystal structure of CaLa4Au, computed with PBE. Values from VASP.

Summary:
Energy relative to the elements = 0.239 eV/atom
Theoretical density = 6.47 g/cm3
Symmetry = F-43m (216)
Total moment = 0.0 μB per formula unit

```
&SYSTEM
  ibrav = 0, nat = 6, ntyp = 3
/
ATOMIC_SPECIES
Ca 40.08 Ca.upf
La 138.91 La.upf
Au 196.97 Au.upf
CELL_PARAMETERS angstrom
0.0000 4.6679 4.6679
4.6679 0.0000 4.6679
4.6679 4.6679 0.0000
ATOMIC_POSITIONS crystal
Ca 0.0000 0.0000 0.0000
La 0.8677 0.3774 0.3774
La 0.3774 0.3774 0.8677
La 0.3774 0.8677 0.3774
La 0.3774 0.3774 0.3774
Au 0.7500 0.7500 0.7500
```


An optimized crystal structure of AlP3Ir, computed with PBE. Values from VASP.

Summary:
Energy relative to the elements = 0.769 eV/atom
Theoretical density = 5.13 g/cm3
Symmetry = Pm-3m (221)
Total moment = 0.0 μB per formula unit

```
&SYSTEM
  ibrav = 0, nat = 5, ntyp = 3
/
ATOMIC_SPECIES
P 30.97 P.upf
Ir 192.22 Ir.upf
Al 26.98 Al.upf
CELL_PARAMETERS angstrom
4.6582 0.0000 0.0000
0.0000 4.6582 0.0000
0.0000 0.0000 4.6582
ATOMIC_POSITIONS crystal
P 0.0000 0.5000 0.0000
P 0.0000 0.0000 0.5000
P 0.5000 0.0000 0.0000
Ir 0.0000 0.0000 0.0000
Al 0.5000 0.5000 0.5000
```


An optimized crystal structure of YMn2V2, computed with PBE. Values from VASP.

Summary:
Energy relative to the elements = 0.213 eV/atom
Theoretical density = 6.08 g/cm3
Symmetry = I4/mmm (139)
Total moment = 1.3 μB per formula unit

```
&SYSTEM
  ibrav = 0, nat = 5, ntyp = 3
/
ATOMIC_SPECIES
Y 88.91 Y.upf
Mn 54.94 Mn.upf
V 50.94 V.upf
CELL_PARAMETERS angstrom
-2.9360 1.8566 2.1738
-1.6505 -3.6451 0.8840
0.4915 -1.1832 5.5369
ATOMIC_POSITIONS crystal
Y 0.0000 0.0000 0.0000
Mn 0.7500 0.2500 0.5000
Mn 0.2500 0.7500 0.5000
V 0.3646 0.3646 0.2707
V 0.6354 0.6354 0.7293
```


> The highest total moment belongs to which entry?

YMn2V2